Entry 1:
BaYTi3: optimized geometry, PBE.

Cell lengths 5.3136, 5.3136, 5.3136 Å; angles 90.00, 90.00, 90.00 degrees
Space group Pm-3m (No. 221)
Unique sites:
1 Ba 0.0000 0.0000 0.0000 (multiplicity 1)
2 Y 0.5000 0.5000 0.5000 (multiplicity 1)
3 Ti 0.0000 0.5000 0.5000 (multiplicity 3)

## Properties
E	-5.188	eV/atom
mass density	4.09	g/cm³
Fermi-level density of states	1.753	states/eV/atom
total magnetic moment	4.99	μB/f.u.
polymorph energy (0 for the lowest one)	0.000	eV per atom

---

Entry 2:
BaY2ZrTi: optimized geometry, PBE.

Cell lengths 5.7166, 5.7166, 5.1617 Å; angles 90.00, 90.00, 90.00 degrees
Space group P4/mmm (No. 123)
Unique sites:
1 Ba 0.0000 0.0000 0.0000 (multiplicity 1)
2 Y 0.0000 0.5000 0.5000 (multiplicity 2)
3 Zr 0.5000 0.5000 0.0000 (multiplicity 1)
4 Ti 0.5000 0.5000 0.5000 (multiplicity 1)

## Properties
E	-5.761	eV/atom
mass density	4.47	g/cm³
Fermi-level density of states	1.167	states/eV/atom
total magnetic moment	0.85	μB/f.u.

---

Entry 3:
BaTiZn3: optimized geometry, PBE.

Cell lengths 5.1657, 5.1657, 5.1657 Å; angles 90.00, 90.00, 90.00 degrees
Space group Pm-3m (No. 221)
Unique sites:
1 Ba 0.0000 0.0000 0.0000 (multiplicity 1)
2 Ti 0.5000 0.5000 0.5000 (multiplicity 1)
3 Zn 0.0000 0.5000 0.5000 (multiplicity 3)

## Properties
E	-2.522	eV/atom
mass density	4.59	g/cm³
Fermi-level density of states	0.877	states/eV/atom
total magnetic moment	3.28	μB/f.u.
polymorph energy (0 for the lowest one)	0.000	eV per atom

---

Entry 4:
BaTiZn3: optimized geometry, PBE.

Cell lengths 5.7083, 5.7083, 5.7083 Å; angles 90.00, 90.00, 90.00 degrees
Space group Pm-3m (No. 221)
Unique sites:
1 Ba 0.0000 0.0000 0.0000 (multiplicity 1)
2 Ti 0.5000 0.5000 0.5000 (multiplicity 1)
3 Zn 0.0000 0.0000 0.5000 (multiplicity 3)

## Properties
E	-1.264	eV/atom
mass density	3.41	g/cm³
Fermi-level density of states	2.241	states/eV/atom
total magnetic moment	0.17	μB/f.u.
polymorph energy (0 for the lowest one)	1.258	eV per atom